No. 1
Density functional theory data (PBE) for a relaxed SrTaCo crystal.

The structure in extended XYZ format:
```
3
Lattice="4.0406 0.0000 0.0000 -2.0203 3.4992 0.0000 0.0000 0.0000 5.2654" Properties=species:S:1:pos:R:3 pbc="T T T"
Sr 0.0000 0.0000 0.0000
Ta 2.0203 1.1664 2.6476
Co 0.0000 2.3328 2.4257
```

Results
VASP energy ... -6.334 eV/atom
Total moment ... 0.000 μB/atom


No. 2
Density functional theory data (PBE) for a relaxed Sr3TaCo crystal.

The structure in extended XYZ format:
```
5
Lattice="5.8985 0.0000 0.0000 0.0000 5.8985 0.0000 0.0000 0.0000 5.8985" Properties=species:S:1:pos:R:3 pbc="T T T"
Sr 0.0000 0.0000 2.9493
Sr 0.0000 2.9493 0.0000
Sr 2.9493 0.0000 0.0000
Ta 0.0000 0.0000 0.0000
Co 2.9493 2.9493 2.9493
```

Results
VASP energy ... -3.212 eV/atom
Total moment ... 0.530 μB/atom


No. 3
Density functional theory data (PBE) for a relaxed SrTaCo2 crystal.

The structure in extended XYZ format:
```
4
Lattice="4.7715 0.0000 0.0000 0.0000 4.7715 0.0000 0.0000 0.0000 3.0125" Properties=species:S:1:pos:R:3 pbc="T T T"
Sr 0.0000 0.0000 0.0000
Ta 2.3857 2.3857 0.0000
Co 0.0000 2.3857 1.5063
Co 2.3857 0.0000 1.5063
```

Results
VASP energy ... -6.384 eV/atom
Total moment ... 0.356 μB/atom


No. 4
Density functional theory data (PBE) for a relaxed SrTa2Co crystal.

The structure in extended XYZ format:
```
4
Lattice="4.9141 0.0000 0.0000 0.0000 4.9141 0.0000 0.0000 0.0000 3.0653" Properties=species:S:1:pos:R:3 pbc="T T T"
Sr 0.0000 0.0000 0.0000
Ta 0.0000 2.4570 1.5327
Ta 2.4570 0.0000 1.5327
Co 2.4570 2.4570 0.0000
```

Results
VASP energy ... -6.866 eV/atom
Total moment ... 0.142 μB/atom


No. 5
Density functional theory data (PBE) for a relaxed SrTaCo2 crystal.

The structure in extended XYZ format:
```
4
Lattice="3.2511 0.0000 0.0000 0.0000 3.2511 0.0000 0.0000 0.0000 7.3388" Properties=species:S:1:pos:R:3 pbc="T T T"
Sr 0.0000 0.0000 0.0000
Ta 1.6256 1.6256 2.8569
Co 0.0000 0.0000 3.8912
Co 1.6256 1.6256 5.1535
```

Results
VASP energy ... -6.448 eV/atom
Total moment ... 0.361 μB/atom


No. 6
Density functional theory data (PBE) for a relaxed SrTaCo2 crystal.

The structure in extended XYZ format:
```
8
Lattice="3.7478 0.0000 0.0000 0.0000 3.5242 0.0000 0.0000 0.0000 12.1960" Properties=species:S:1:pos:R:3 pbc="T T T"
Sr 0.0000 0.0000 0.0000
Sr 0.0000 1.7621 6.0980
Ta 1.8739 0.0000 8.8833
Ta 1.8739 1.7621 2.7854
Co 0.0000 0.0000 3.1089
Co 0.0000 1.7621 9.2069
Co 1.8739 0.0000 4.4413
Co 1.8739 1.7621 10.5393
```

Results
VASP energy ... -6.605 eV/atom
Total moment ... 0.000 μB/atom


No. 7
Density functional theory data (PBE) for a relaxed SrTaCo2 crystal.

The structure in extended XYZ format:
```
8
Lattice="7.0835 0.0000 0.0000 0.0000 4.0846 0.0000 -2.3188 0.0000 6.0280" Properties=species:S:1:pos:R:3 pbc="T T T"
Sr 0.0000 0.0000 0.0000
Sr 3.5418 2.0423 0.0000
Ta 0.0424 0.0000 3.3729
Ta 3.5841 2.0423 3.3729
Co -1.1399 2.0423 3.6567
Co 1.2211 2.0423 2.4954
Co 2.4019 0.0000 3.6567
Co 4.7629 0.0000 2.4954
```

Results
VASP energy ... -6.573 eV/atom
Total moment ... 0.001 μB/atom


No. 8
Density functional theory data (PBE) for a relaxed Sr3TaCo crystal.

The structure in extended XYZ format:
```
5
Lattice="5.5723 0.0000 0.0000 0.0000 5.5723 0.0000 0.0000 0.0000 5.5723" Properties=species:S:1:pos:R:3 pbc="T T T"
Sr 0.0000 0.0000 2.7861
Sr 0.0000 2.7861 0.0000
Sr 2.7861 0.0000 0.0000
Ta 2.7861 2.7861 2.7861
Co 0.0000 0.0000 0.0000
```

Results
VASP energy ... -3.653 eV/atom
Total moment ... 0.763 μB/atom


| no. | E_form (eV/atom) | DOS at the Fermi energy (states/eV/f.u.) | calculated volume (Å³ per atom) |
| --- | --- | --- | --- |
| 1 | 0.546 | 3.25 | 24.8 |
| 2 | 1.588 | 29.00 | 41.0 |
| 3 | 0.552 | 1.71 | 17.1 |
| 4 | 1.258 | 4.20 | 18.5 |
| 5 | 0.488 | 5.11 | 19.4 |
| 6 | 0.332 | 3.25 | 20.1 |
| 7 | 0.364 | 4.07 | 21.8 |
| 8 | 1.148 | 5.97 | 34.6 |